Entry from the Alexandria database: Ac2NdPuTe5 after structural relaxation (GGA-PBE).

Unit cell a=5.6602 b=5.6602 c=11.9366 alpha=90.00 beta=90.00 gamma=90.00
Last column: nearest neighbours and their distance in Å.
Fractional positions:
Te1 0.0000 0.0000 0.7537  1 Pu 2.94, 1 Nd 3.03
Nd1 0.0000 0.0000 0.5000  6 Te 2.83-3.03
Te2 0.0000 0.0000 0.2463  1 Pu 2.94, 1 Nd 3.03
Te3 0.5000 0.0000 0.5000  2 Nd 2.83
Pu1 0.0000 0.0000 0.0000  2 Te 2.94
Ac1 0.5000 0.5000 0.2991  5 Te 3.57-3.71
Ac2 0.5000 0.5000 0.7009  5 Te 3.57-3.71
Te4 0.5000 0.5000 0.0000  2 Ac 3.57
Te5 0.0000 0.5000 0.5000  2 Nd 2.83

Values from the calculation:
- space-group type = No. 123
- E_form (uncorrected) (kJ per mole of atoms) = -83.3
- DOS at the Fermi energy (states/eV per cell) = 22.5
- energy (eV per atom) = -5.64


Entry from the Alexandria database: TaAlRu2 after structural relaxation (GGA-PBE).

Unit cell a=3.1169 b=3.1169 c=6.1015 alpha=90.00 beta=90.00 gamma=90.00
Last column: nearest neighbours and their distance in Å.
Fractional positions:
Ru1 0.0000 0.0000 0.9947  4 Al 2.66, 4 Ta 2.70
Ta1 0.5000 0.5000 0.2500  8 Ru 2.70
Al1 0.5000 0.5000 0.7500  8 Ru 2.66
Ru2 0.0000 0.0000 0.5053  4 Al 2.66, 4 Ta 2.70

Values from the calculation:
- space-group type = No. 123
- DOS at the Fermi energy (states/eV per cell) = 1.0
- ΔE_f (eV/atom) = -0.680
- energy (eV per atom) = -9.22


Entry from the Alexandria database: PbOF after structural relaxation (GGA-PBE).

Unit cell a=4.5194 b=4.5186 c=4.8623 alpha=90.05 beta=90.12 gamma=90.03
Last column: nearest neighbours and their distance in Å.
Fractional positions:
Pb1 0.8139 0.8666 0.0685  1 F 2.21, 4 O 2.37
O1 0.8130 0.3666 0.9198  4 Pb 2.37
O2 0.3139 0.8663 0.9195  4 Pb 2.37
F1 0.8150 0.8669 0.5221  1 Pb 2.21
Pb2 0.3129 0.3663 0.7707  1 F 2.21, 4 O 2.37
F2 0.3128 0.3662 0.3171  1 Pb 2.21

Values from the calculation:
- space-group type = No. 2
- E_form (uncorrected) (kJ per mole of atoms) = -133.4
- DOS at the Fermi energy (states/eV per cell) = 3.3
- energy (eV per atom) = -4.89


Entry from the Alexandria database: SmLu2N after structural relaxation (GGA-PBE).

Unit cell a=3.3672 b=3.3672 c=9.6152 alpha=79.92 beta=79.92 gamma=60.00
Last column: nearest neighbours and their distance in Å.
Fractional positions:
Sm1 0.0000 0.0000 0.0000  6 Sm 3.37, 2 Lu 3.40
Lu1 0.1204 0.1204 0.6387  3 N 2.34
N1 0.5000 0.5000 0.5000  6 Lu 2.34
Lu2 0.8796 0.8796 0.3613  3 N 2.34

Values from the calculation:
- space-group type = No. 166
- E_form (uncorrected) (kJ per mole of atoms) = -71.0
- DOS at the Fermi energy (states/eV per cell) = 4.1
- energy (eV per atom) = -6.26


Entry from the Alexandria database: Ti5NbIr6 after structural relaxation (GGA-PBE).

Unit cell a=4.2053 b=7.0802 c=7.3899 alpha=118.62 beta=106.53 gamma=90.00
Last column: nearest neighbours and their distance in Å.
Fractional positions:
Ir1 0.1682 0.8968 0.3364  7 Ti 2.62-2.86, 1 Nb 2.82, 2 Ir 2.92
Ir2 0.5000 0.2843 0.0000  6 Ti 2.60-2.74
Ti1 0.3545 0.8545 0.7089  8 Ir 2.69-2.86, 2 Nb 2.76, 2 Ti 2.96
Ir3 0.1682 0.4397 0.3364  7 Ti 2.62-2.86, 1 Nb 2.82, 2 Ir 2.92
Ti2 0.0000 0.5000 0.0000  8 Ir 2.60-2.62
Nb1 0.0000 0.0000 0.0000  4 Ti 2.76, 8 Ir 2.82-2.91
Ti3 0.6455 0.1455 0.2911  8 Ir 2.69-2.86, 2 Nb 2.76, 2 Ti 2.96
Ti4 0.3150 0.3150 0.6300  8 Ir 2.63-2.74
Ir4 0.8318 0.5603 0.6636  7 Ti 2.62-2.86, 1 Nb 2.82, 2 Ir 2.92
Ir5 0.5000 0.7157 0.0000  6 Ti 2.60-2.74
Ti5 0.6850 0.6850 0.3700  8 Ir 2.63-2.74
Ir6 0.8318 0.1032 0.6636  7 Ti 2.62-2.86, 1 Nb 2.82, 2 Ir 2.92

Values from the calculation:
- space-group type = No. 71
- DOS at the Fermi energy (states/eV per cell) = 9.5
- ΔE_f (eV/atom) = -0.831
- energy (eV per atom) = -9.39


Entry from the Alexandria database: ZrMn2B2 after structural relaxation (GGA-PBE).

Unit cell a=6.0824 b=6.0824 c=2.9013 alpha=90.00 beta=90.00 gamma=90.00
Last column: nearest neighbours and their distance in Å.
Fractional positions:
B1 0.6050 0.1050 0.0000  1 B 1.81
B2 0.1050 0.3950 0.0000  1 B 1.81
B3 0.8950 0.6050 0.0000  1 B 1.81
Mn1 0.6576 0.8424 0.5000  4 B 2.18
Mn2 0.3424 0.1576 0.5000  4 B 2.18
Mn3 0.1576 0.6576 0.5000  4 B 2.18
Mn4 0.8424 0.3424 0.5000  4 B 2.18
Zr1 0.5000 0.5000 0.0000  4 B 2.49, 8 Mn 2.71
B4 0.3950 0.8950 0.0000  1 B 1.81
Zr2 0.0000 0.0000 0.0000  4 B 2.49, 8 Mn 2.71

Values from the calculation:
- space-group type = No. 127
- DOS at the Fermi energy (states/eV per cell) = 8.3
- ΔE_f (eV/atom) = -0.151
- energy (eV per atom) = -8.20


Entry from the Alexandria database: ErMgNi5 after structural relaxation (GGA-PBE).

Unit cell a=4.7983 b=7.9981 c=10.1789 alpha=90.00 beta=90.00 gamma=90.00
Last column: nearest neighbours and their distance in Å.
Fractional positions:
Mg1 0.7500 0.1357 0.1391  10 Ni 2.57-2.83
Ni1 0.7500 0.0474 0.8959  4 Ni 2.43-2.54, 1 Mg 2.57
Ni2 0.4980 0.0692 0.6895  7 Ni 2.38-2.47
Ni3 0.0020 0.0692 0.6895  7 Ni 2.38-2.47
Er1 0.2500 0.7496 0.5596  8 Ni 2.78-3.07
Mg2 0.7500 0.6357 0.3609  10 Ni 2.57-2.83
Mg3 0.2500 0.8643 0.8609  10 Ni 2.57-2.83
Ni4 0.7500 0.5474 0.6041  4 Ni 2.43-2.54, 1 Mg 2.57
Mg4 0.2500 0.3643 0.6391  10 Ni 2.57-2.83
Ni5 0.2500 0.5847 0.0163  5 Ni 2.41-2.47
Ni6 0.9980 0.9308 0.3105  7 Ni 2.38-2.47
Er2 0.7500 0.7504 0.0596  8 Ni 2.78-3.07
Er3 0.7500 0.2504 0.4404  8 Ni 2.78-3.07
Ni7 0.5020 0.9308 0.3105  7 Ni 2.38-2.47
Ni8 0.2500 0.6878 0.2414  7 Ni 2.39-2.54
Ni9 0.4980 0.5692 0.8105  7 Ni 2.38-2.47
Ni10 0.2500 0.0847 0.4837  5 Ni 2.41-2.47
Ni11 0.5020 0.4308 0.1895  7 Ni 2.38-2.47
Ni12 0.2500 0.1878 0.2586  7 Ni 2.39-2.54
Ni13 0.9980 0.4308 0.1895  7 Ni 2.38-2.47
Ni14 0.7500 0.8122 0.7414  7 Ni 2.39-2.54
Ni15 0.2500 0.9526 0.1041  4 Ni 2.43-2.54, 1 Mg 2.57
Ni16 0.2500 0.4526 0.3959  4 Ni 2.43-2.54, 1 Mg 2.57
Ni17 0.7500 0.3122 0.7586  7 Ni 2.39-2.54
Ni18 0.0020 0.5692 0.8105  7 Ni 2.38-2.47
Er4 0.2500 0.2496 0.9404  8 Ni 2.78-3.07
Ni19 0.7500 0.9153 0.5163  5 Ni 2.41-2.47
Ni20 0.7500 0.4153 0.9837  5 Ni 2.41-2.47

Values from the calculation:
- space-group type = No. 62
- DOS at the Fermi energy (states/eV per cell) = 34.8
- ΔE_f (eV/atom) = -0.315
- energy (eV per atom) = -5.32


Entry from the Alexandria database: AlZnCd after structural relaxation (GGA-PBE).

Unit cell a=5.4857 b=5.4857 c=5.4857 alpha=150.29 beta=136.72 gamma=53.38
Last column: nearest neighbours and their distance in Å.
Fractional positions:
Al1 0.0150 0.0150 0.0000  2 Al 2.81, 4 Zn 2.82, 5 Cd 3.05-3.10
Cd1 0.3311 0.3311 0.0000  2 Cd 2.81, 4 Zn 3.01, 5 Al 3.05-3.10
Zn1 0.6539 0.6539 0.0000  2 Zn 2.81, 4 Al 2.82, 4 Cd 3.01

Values from the calculation:
- space-group type = No. 44
- DOS at the Fermi energy (states/eV per cell) = 0.7
- ΔE_f (eV/atom) = 0.110
- energy (eV per atom) = -1.87


Entry from the Alexandria database: Th4Bi2IrS after structural relaxation (GGA-PBE).

Unit cell a=4.2237 b=7.5332 c=7.8707 alpha=108.99 beta=90.00 gamma=90.00
Last column: nearest neighbours and their distance in Å.
Fractional positions:
Th1 0.5000 0.2371 0.2114  2 S 2.91, 1 Ir 2.97, 2 Bi 3.26
Th2 0.0000 0.2794 0.7906  2 Ir 2.86, 1 S 3.07
Th3 0.5000 0.7629 0.7886  2 S 2.91, 1 Ir 2.97, 2 Bi 3.26
Th4 0.0000 0.7206 0.2094  2 Ir 2.86, 1 S 3.07
S1 0.0000 0.0000 0.0000  6 Th 2.91-3.07
Bi1 0.5000 0.0000 0.5000  6 Th 3.31-3.32
Bi2 0.0000 0.5000 0.5000  6 Th 3.24-3.26
Ir1 0.5000 0.5000 0.0000  6 Th 2.86-2.97

Values from the calculation:
- space-group type = No. 10
- E_form (uncorrected) (kJ per mole of atoms) = -96.0
- DOS at the Fermi energy (states/eV per cell) = 4.8
- energy (eV per atom) = -7.30


Entry from the Alexandria database: ScAlGa4 after structural relaxation (GGA-PBE).

Unit cell a=6.3279 b=6.3280 c=4.2514 alpha=90.00 beta=90.01 gamma=38.71
Last column: nearest neighbours and their distance in Å.
Fractional positions:
Al1 0.0000 0.0000 0.0000  8 Ga 2.91-2.94, 4 Sc 2.99
Sc1 0.5000 0.5000 0.5000  8 Ga 2.92-2.93, 4 Al 2.99
Ga1 0.3314 0.3314 0.9999  8 Ga 2.86-2.99, 2 Al 2.91, 2 Sc 2.93
Ga2 0.1701 0.1701 0.5008  8 Ga 2.83-2.99, 2 Sc 2.92, 2 Al 2.94
Ga3 0.6686 0.6686 0.0001  8 Ga 2.86-2.99, 2 Al 2.91, 2 Sc 2.93
Ga4 0.8299 0.8299 0.4992  8 Ga 2.83-2.99, 2 Sc 2.92, 2 Al 2.94

Values from the calculation:
- space-group type = No. 65
- DOS at the Fermi energy (states/eV per cell) = 1.8
- ΔE_f (eV/atom) = -0.237
- energy (eV per atom) = -3.93


Please write out number 5 again, unchanged.
Entry from the Alexandria database: Ti5NbIr6 after structural relaxation (GGA-PBE).

Unit cell a=4.2053 b=7.0802 c=7.3899 alpha=118.62 beta=106.53 gamma=90.00
Last column: nearest neighbours and their distance in Å.
Fractional positions:
Ir1 0.1682 0.8968 0.3364  7 Ti 2.62-2.86, 1 Nb 2.82, 2 Ir 2.92
Ir2 0.5000 0.2843 0.0000  6 Ti 2.60-2.74
Ti1 0.3545 0.8545 0.7089  8 Ir 2.69-2.86, 2 Nb 2.76, 2 Ti 2.96
Ir3 0.1682 0.4397 0.3364  7 Ti 2.62-2.86, 1 Nb 2.82, 2 Ir 2.92
Ti2 0.0000 0.5000 0.0000  8 Ir 2.60-2.62
Nb1 0.0000 0.0000 0.0000  4 Ti 2.76, 8 Ir 2.82-2.91
Ti3 0.6455 0.1455 0.2911  8 Ir 2.69-2.86, 2 Nb 2.76, 2 Ti 2.96
Ti4 0.3150 0.3150 0.6300  8 Ir 2.63-2.74
Ir4 0.8318 0.5603 0.6636  7 Ti 2.62-2.86, 1 Nb 2.82, 2 Ir 2.92
Ir5 0.5000 0.7157 0.0000  6 Ti 2.60-2.74
Ti5 0.6850 0.6850 0.3700  8 Ir 2.63-2.74
Ir6 0.8318 0.1032 0.6636  7 Ti 2.62-2.86, 1 Nb 2.82, 2 Ir 2.92

Values from the calculation:
- space-group type = No. 71
- DOS at the Fermi energy (states/eV per cell) = 9.5
- ΔE_f (eV/atom) = -0.831
- energy (eV per atom) = -9.39